[1]
## CeHo2Te4 (GGA-PBE)

Data for crystalline CeHo2Te4 at its relaxed geometry.

Symmetry: I-42d
VASP energy: -36.8 eV per formula unit
Relative energy among the computed polymorphs: 56 meV/atom
Calculated volume: 33.07 Å³/atom
Spin magnetization: 1.489 μB per formula unit

Cell lengths 8.444, 8.444, 8.444 Å; angles 108.40, 108.40, 111.63 degrees
Sites, in units of the cell vectors:
Ce 0.000 0.000 0.000
Ce 0.750 0.250 0.500
Ho 0.354 0.125 0.729
Ho 0.375 0.646 0.771
Ho 0.396 0.625 0.271
Ho 0.875 0.604 0.229
Te 0.045 0.748 0.667
Te 0.081 0.378 0.333
Te 0.128 0.331 0.833
Te 0.252 0.919 0.297
Te 0.498 0.295 0.167
Te 0.622 0.955 0.703
Te 0.669 0.502 0.797
Te 0.705 0.872 0.203



[2]
## Ce4Ho3Te8 (GGA-PBE)

Data for crystalline Ce4Ho3Te8 at its relaxed geometry.

Symmetry: R-3m
VASP energy: -79.8 eV per formula unit
Calculated volume: 36.27 Å³/atom
Spin magnetization: 5.605 μB per formula unit

Cell lengths 9.649, 9.649, 9.649 Å; angles 53.85, 53.85, 53.85 degrees
Sites, in units of the cell vectors:
Ce 0.000 0.000 0.000
Ce 0.143 0.143 0.143
Ce 0.500 0.500 0.500
Ce 0.857 0.857 0.857
Ho 0.000 0.500 0.500
Ho 0.500 0.000 0.500
Ho 0.500 0.500 0.000
Te 0.250 0.250 0.730
Te 0.250 0.730 0.250
Te 0.268 0.268 0.268
Te 0.270 0.750 0.750
Te 0.730 0.250 0.250
Te 0.732 0.732 0.732
Te 0.750 0.270 0.750
Te 0.750 0.750 0.270



[3]
## Ce3Ho2ThTe6 (GGA-PBE)

Data for crystalline Ce3Ho2ThTe6 at its relaxed geometry.

Symmetry: C2/m
VASP energy: -68.5 eV per formula unit
Calculated volume: 30.83 Å³/atom
Spin magnetization: 3.509 μB per formula unit

Cell lengths 9.910, 9.910, 8.948 Å; angles 102.90, 102.90, 25.62 degrees
Sites, in units of the cell vectors:
Ce 0.000 0.000 0.000
Ce 0.338 0.338 0.666
Ce 0.662 0.662 0.334
Ho 0.334 0.334 0.168
Ho 0.666 0.666 0.832
Th 0.000 0.000 0.500
Te 0.169 0.169 0.595
Te 0.170 0.170 0.077
Te 0.495 0.495 0.245
Te 0.505 0.505 0.755
Te 0.830 0.830 0.923
Te 0.831 0.831 0.405



[4]
## CeHo3Tl4Te8 (GGA-PBE)

Data for crystalline CeHo3Tl4Te8 at its relaxed geometry.

Symmetry: R-3m
VASP energy: -70.8 eV per formula unit
Calculated volume: 35.55 Å³/atom
Spin magnetization: 1.013 μB per formula unit

Cell lengths 9.686, 9.686, 9.686 Å; angles 55.07, 55.07, 55.07 degrees
Sites, in units of the cell vectors:
Ce 0.000 0.000 0.000
Ho 0.000 0.500 0.500
Ho 0.500 0.000 0.500
Ho 0.500 0.500 0.000
Tl 0.000 0.000 0.500
Tl 0.000 0.500 0.000
Tl 0.500 0.000 0.000
Tl 0.500 0.500 0.500
Te 0.242 0.242 0.730
Te 0.242 0.730 0.242
Te 0.263 0.263 0.263
Te 0.270 0.758 0.758
Te 0.730 0.242 0.242
Te 0.737 0.737 0.737
Te 0.758 0.270 0.758
Te 0.758 0.758 0.270



[5]
## CeHo2Tl3Te6 (GGA-PBE)

Data for crystalline CeHo2Tl3Te6 at its relaxed geometry.

Symmetry: C2/m
VASP energy: -53.4 eV per formula unit
Calculated volume: 35.76 Å³/atom
Spin magnetization: 1.003 μB per formula unit

Cell lengths 7.780, 7.780, 8.587 Å; angles 98.69, 98.69, 119.99 degrees
Sites, in units of the cell vectors:
Ce 0.000 0.000 0.000
Ho 0.333 0.667 0.000
Ho 0.667 0.333 0.000
Tl 0.165 0.835 0.500
Tl 0.500 0.500 0.500
Tl 0.835 0.165 0.500
Te 0.072 0.415 0.215
Te 0.272 0.272 0.787
Te 0.415 0.072 0.215
Te 0.585 0.928 0.785
Te 0.728 0.728 0.213
Te 0.928 0.585 0.785



[6]
## Ce3HoTm2Te6 (GGA-PBE)

Data for crystalline Ce3HoTm2Te6 at its relaxed geometry.

Symmetry: C2/m
VASP energy: -65.7 eV per formula unit
Calculated volume: 30.14 Å³/atom
Spin magnetization: 3.608 μB per formula unit

Cell lengths 7.530, 7.530, 7.790 Å; angles 99.27, 99.27, 120.10 degrees
Sites, in units of the cell vectors:
Ce 0.000 0.000 0.000
Ce 0.335 0.665 0.000
Ce 0.665 0.335 0.000
Ho 0.500 0.500 0.500
Tm 0.167 0.833 0.500
Tm 0.833 0.167 0.500
Te 0.086 0.421 0.265
Te 0.242 0.242 0.734
Te 0.421 0.086 0.265
Te 0.579 0.914 0.735
Te 0.758 0.758 0.266
Te 0.914 0.579 0.735



Number 1: ΔE_f (raw) -1.31 eV per atom. Number 2: ΔE_f (raw) -1.14 eV per atom. Number 3: ΔE_f (raw) -1.27 eV per atom. Number 4: ΔE_f (raw) -1.03 eV per atom. Number 5: ΔE_f (raw) -1.03 eV per atom. Number 6: ΔE_f (raw) -1.30 eV per atom.